No. 1
Computed, not measured: an optimized crystal structure of LiCd2Pt at the PBE level of DFT.

Cell lengths 4.3066, 4.3066, 9.2098 Å; angles 90.00, 90.00, 120.00 degrees
Space group P6_3/mmc (No. 194)
One atom of each set of equivalent atoms:
Li 0.3333 0.6667 0.2500 x2
Cd 0.3333 0.6667 0.5882 x4
Pt 0.0000 0.0000 0.2500 x2

- energy relative to the lowest polymorph listed for this composition (meV/atom) = 229.8
- uncorrected energy (Ry per atom) = -0.195

---

No. 2
Computed, not measured: an optimized crystal structure of ReN2 at the PBE level of DFT.

Cell lengths 8.447, 8.447, 8.447 Å; angles 90.00, 90.00, 90.00 degrees
Space group Fd-3m (No. 227, origin choice 2)
One atom of each set of equivalent atoms:
Re 0.125 0.125 0.125 x8
N 0.000 0.000 0.000 x16

- uncorrected energy (Ry per atom) = -0.698

---

No. 3
Computed, not measured: an optimized crystal structure of ZrNbNiBi at the PBE level of DFT.

Cell lengths 6.760, 6.760, 6.760 Å; angles 90.00, 90.00, 90.00 degrees
Space group F-43m (No. 216)
One atom of each set of equivalent atoms:
Zr 0.000 0.000 0.000 x4
Nb 0.250 0.250 0.250 x4
Ni 0.250 0.250 0.750 x4
Bi 0.000 0.000 0.500 x4

- uncorrected energy (Ry per atom) = -0.498

---

No. 4
Computed, not measured: an optimized crystal structure of SrCd4Ge3 at the PBE level of DFT.

Cell lengths 4.688, 4.688, 8.897 Å; angles 90.00, 90.00, 90.00 degrees
Space group P4/mmm (No. 123)
One atom of each set of equivalent atoms:
Sr 0.000 0.000 0.000 x1
Cd 0.000 0.500 0.317 x4
Ge 0.000 0.000 0.500 x1
Ge 0.500 0.500 0.141 x2

- uncorrected energy (Ry per atom) = -0.188

---

No. 5
Computed, not measured: an optimized crystal structure of NdGdU at the PBE level of DFT.

Cell lengths 7.499, 7.499, 7.499 Å; angles 90.00, 90.00, 90.00 degrees
Space group F-43m (No. 216)
One atom of each set of equivalent atoms:
Nd 0.000 0.000 0.000 x4
Gd 0.000 0.000 0.500 x4
U 0.250 0.250 0.750 x4

- energy relative to the lowest polymorph listed for this composition (meV/atom) = 0.0
- energy of formation from the pure elements (eV/atom) = 1.256
- uncorrected energy (Ry per atom) = -0.415

---

No. 6
Computed, not measured: an optimized crystal structure of CdOs at the PBE level of DFT.

Cell lengths 5.431, 5.431, 5.431 Å; angles 90.00, 90.00, 90.00 degrees
Space group Fm-3m (No. 225)
One atom of each set of equivalent atoms:
Cd 0.000 0.000 0.000 x4
Os 0.000 0.000 0.500 x4

- energy of formation from the pure elements (eV/atom) = 1.796
- uncorrected energy (Ry per atom) = -0.313

---

No. 7
Computed, not measured: an optimized crystal structure of NaZrBeSe3 at the PBE level of DFT.

Cell lengths 3.678, 13.971, 10.326 Å; angles 90.00, 90.00, 90.00 degrees
Space group Cmcm (No. 63)
One atom of each set of equivalent atoms:
Na 0.000 0.249 0.250 x4
Zr 0.000 0.500 0.000 x4
Be 0.000 0.037 0.750 x4
Se 0.000 0.134 0.576 x8
Se 0.000 0.434 0.750 x4

- uncorrected energy (Ry per atom) = -0.371

---

No. 8
Computed, not measured: an optimized crystal structure of LiSmTmSe3 at the PBE level of DFT.

Cell lengths 4.188, 13.405, 11.833 Å; angles 90.00, 90.00, 90.00 degrees
Space group Cmcm (No. 63)
One atom of each set of equivalent atoms:
Li 0.000 0.234 0.250 x4
Sm 0.000 0.500 0.000 x4
Tm 0.000 0.033 0.750 x4
Se 0.000 0.145 0.567 x8
Se 0.000 0.404 0.750 x4

- uncorrected energy (Ry per atom) = -0.365

---

No. 9
Computed, not measured: an optimized crystal structure of KSmNO at the PBE level of DFT.

Cell lengths 3.782, 7.454, 6.405 Å; angles 90.00, 90.00, 90.00 degrees
Space group Pmc2_1 (No. 26)
One atom of each set of equivalent atoms:
K 0.000 0.155 0.000 x2
Sm 0.500 0.336 0.490 x2
N 0.500 0.382 0.847 x2
O 0.000 0.193 0.417 x2

- energy relative to the lowest polymorph listed for this composition (meV/atom) = 8.7
- uncorrected energy (Ry per atom) = -0.438

---

No. 10
Computed, not measured: an optimized crystal structure of ScZn2O4 at the PBE level of DFT.

Cell lengths 8.617, 8.617, 8.617 Å; angles 90.00, 90.00, 90.00 degrees
Space group Fd-3m (No. 227, origin choice 2)
One atom of each set of equivalent atoms:
Sc 0.125 0.125 0.125 x8
Zn 0.000 0.000 0.500 x16
O 0.008 0.008 0.742 x32

- uncorrected energy (Ry per atom) = -0.438

---

No. 11
Computed, not measured: an optimized crystal structure of NbAlTc2 at the PBE level of DFT.

Cell lengths 6.278, 6.278, 6.278 Å; angles 90.00, 90.00, 90.00 degrees
Space group F-43m (No. 216)
One atom of each set of equivalent atoms:
Nb 0.000 0.000 0.000 x4
Al 0.250 0.250 0.750 x4
Tc 0.000 0.000 0.500 x4
Tc 0.250 0.250 0.250 x4

- uncorrected energy (Ry per atom) = -0.639

---

No. 12
Computed, not measured: an optimized crystal structure of HfCdO3 at the PBE level of DFT.

Cell lengths 4.042, 4.042, 4.169 Å; angles 90.00, 90.00, 90.00 degrees
Space group P4mm (No. 99)
One atom of each set of equivalent atoms:
Hf 0.000 0.000 0.000 x1
Cd 0.500 0.500 0.383 x1
O 0.000 0.000 0.528 x1
O 0.000 0.500 0.072 x2

- uncorrected energy (Ry per atom) = -0.549